VASP calculation (PBE) on a relaxed La2Sm2Cd3 crystal.

Unit cell a=9.299 b=5.358 c=9.314 alpha=90.00 beta=109.68 gamma=90.00
Space group C2/m (No. 12)
Asymmetric unit:
1 La 0.131 0.000 0.391 x4
2 Sm 0.119 0.500 0.860 x4
3 Cd 0.000 0.000 0.000 x2
4 Cd 0.243 0.500 0.229 x4

Output
Calculated formation energy in eV/atom: -0.179
Total magnetic moment in μB/f.u.: 0.0
Volume in Å³ per atom: 31.21